{"formula": "BaSrP", "functional": "meta-GGA SCAN", "state": "single point on PBEsol structure", "cell": [[5.118, 0.000, 0.000], [2.559, 4.432, 0.000], [2.559, 1.477, 4.179]], "species": ["Sr", "Ba", "P"], "frac_coords": [[0.250, 0.250, 0.250], [0.000, 0.000, 0.000], [0.500, 0.500, 0.500]], "magnetic_moment_mub_per_atom": 0.000, "formation_enthalpy_0k_kj_per_mol_atoms": -23.86, "polymorph_energy_mev_per_atom": 729, "density_g_cm3": 4.483, "space_group": "F-43m"}

---

{"formula": "Be3Co2", "functional": "meta-GGA SCAN", "state": "single point on PBEsol structure", "cell": [[-0.008, 3.120, -2.909], [-1.870, -3.721, -0.925], [-3.579, 2.090, 3.849]], "species": ["Co", "Co", "Co", "Co", "Be", "Be", "Be", "Be", "Be", "Be"], "frac_coords": [[0.240, 0.622, 0.108], [0.382, 0.264, 0.392], [0.514, 0.132, 0.892], [0.872, 0.990, 0.608], [0.019, 0.019, 0.000], [0.915, 0.535, 0.723], [0.812, 0.192, 0.277], [0.785, 0.665, 0.223], [0.442, 0.562, 0.777], [0.269, 0.769, 0.500]], "magnetic_moment_mub_per_atom": 0.371, "formation_enthalpy_0k_kj_per_mol_atoms": -21.01, "density_g_cm3": 5.800, "space_group": "Fdd2"}

---

{"formula": "Mg3Mo", "functional": "meta-GGA SCAN", "state": "single point on PBEsol structure", "cell": [[2.965, 0.000, 0.000], [-1.483, 2.568, 0.000], [0.000, 0.000, 9.915]], "species": ["Mg", "Mg", "Mg", "Mo"], "frac_coords": [[0.000, 0.000, 0.500], [0.667, 0.333, 0.233], [0.667, 0.333, 0.767], [0.000, 0.000, 0.000]], "magnetic_moment_mub_per_atom": 0.000, "formation_enthalpy_0k_kj_per_mol_atoms": 27.45, "polymorph_energy_mev_per_atom": 0, "density_g_cm3": 3.714, "space_group": "P-6m2"}